Below is NaPb2Cl4 after structural relaxation, with properties calculated at the PBE level.

Lattice parameters (Å, degrees): 5.1984 5.1984 8.4485 72.08 72.08 90.00
Closest atoms and distances in Å follow each position.
Fractional coordinates of all 7 atoms:
1 Pb 0.6329 0.6329 0.7342  1 Cl 2.70
2 Pb 0.3671 0.3671 0.2658  1 Cl 2.70
3 Na 0.0000 0.0000 0.0000  6 Cl 2.60-2.89
4 Cl 0.8100 0.8100 0.3800  1 Pb 2.70, 1 Na 2.89
5 Cl 0.1900 0.1900 0.6200  1 Pb 2.70, 1 Na 2.89
6 Cl 0.0000 0.5000 0.0000  2 Na 2.60
7 Cl 0.5000 0.0000 0.0000  2 Na 2.60

Summary:
D(E_F)   3.97 states/eV/f.u.
DFT total energy   -3.2791 eV/atom
ΔE_f (raw)   -976 meV per atom